1.
First-principles (SCAN) data for Zn2PbAuC at its PBEsol-relaxed geometry, as listed in Alexandria via LeMat-Bulk.

Cell and atoms, written as POSCAR:
```
Zn2PbAuC
1.0
5.243 0.000 0.000
0.000 5.231 0.000
0.000 0.000 5.231
Pb Zn Au C
1 2 1 1
Direct
0.000 0.000 0.000 Pb
0.000 0.000 0.500 Zn
0.000 0.500 0.000 Zn
0.500 0.000 0.000 Au
0.500 0.500 0.500 C
```

Properties
- total moment (μB/f.u.) = 2.63
- E_tot (eV/atom) = -34.543



2.
First-principles (SCAN) data for PdAuC2 at its PBEsol-relaxed geometry, as listed in Alexandria via LeMat-Bulk.

Cell and atoms, written as POSCAR:
```
PdAuC2
1.0
-0.243 3.706 1.426
0.215 0.641 3.921
3.217 1.747 1.557
C Au Pd
2 1 1
Direct
0.250 0.250 0.250 C
0.750 0.750 0.750 C
0.500 0.500 0.500 Au
0.000 0.000 0.000 Pd
```

Properties
- total moment (μB/f.u.) = 0.00
- E_tot (eV/atom) = -28.340



3.
First-principles (SCAN) data for PdAu3C at its PBEsol-relaxed geometry, as listed in Alexandria via LeMat-Bulk.

Cell and atoms, written as POSCAR:
```
PdAu3C
1.0
-3.624 -1.749 -1.279
-0.649 -1.501 3.893
-2.067 3.538 1.019
C Au Pd
1 3 1
Direct
0.000 0.000 0.000 C
0.000 0.500 0.000 Au
0.000 0.000 0.500 Au
0.500 0.000 0.000 Au
0.500 0.500 0.500 Pd
```

Properties
- total moment (μB/f.u.) = 0.00
- E_tot (eV/atom) = -49.477



4.
First-principles (SCAN) data for PdAuC2 at its PBEsol-relaxed geometry, as listed in Alexandria via LeMat-Bulk.

Cell and atoms, written as POSCAR:
```
PdAuC2
1.0
5.019 0.000 0.000
0.000 5.019 0.000
-2.510 -2.510 4.192
C Au Pd
4 2 2
Direct
0.391 0.875 0.250 C
0.859 0.375 0.250 C
0.125 0.141 0.750 C
0.625 0.609 0.750 C
0.250 0.750 0.500 Au
0.000 0.000 0.000 Au
0.750 0.250 0.500 Pd
0.500 0.500 0.000 Pd
```

Properties
- total moment (μB/f.u.) = 0.00
- E_tot (eV/atom) = -29.016



5.
First-principles (SCAN) data for RhAu3C at its PBEsol-relaxed geometry, as listed in Alexandria via LeMat-Bulk.

Cell and atoms, written as POSCAR:
```
RhAu3C
1.0
4.899 0.000 0.000
0.000 4.899 0.000
0.000 0.000 4.899
Rh C Au
1 1 3
Direct
0.000 0.000 0.000 Rh
0.500 0.500 0.500 C
0.000 0.500 0.000 Au
0.000 0.000 0.500 Au
0.500 0.000 0.000 Au
```

Properties
- total moment (μB/f.u.) = 3.21
- E_tot (eV/atom) = -47.894



6.
First-principles (SCAN) data for ZrRhAuC2 at its PBEsol-relaxed geometry, as listed in Alexandria via LeMat-Bulk.

Cell and atoms, written as POSCAR:
```
ZrRhAuC2
1.0
3.884 0.000 0.000
0.000 3.884 0.000
0.000 0.000 5.412
Rh C Au Zr
1 2 1 1
Direct
0.000 0.000 0.000 Rh
0.000 0.500 0.000 C
0.500 0.000 0.000 C
0.500 0.500 0.500 Au
0.000 0.000 0.500 Zr
```

Properties
- total moment (μB/f.u.) = 0.72
- E_tot (eV/atom) = -29.611